[1]
A relaxed structure of Cd2SiRh2. Source: Alexandria, functional GGA-PBE.

Cell lengths 7.638, 7.638, 3.057 Å; angles 90.00, 90.00, 90.00 degrees
Atoms (fractional coordinates):
Rh: 0.836 0.336 0.500
Si: 0.000 0.000 0.000
Rh: 0.336 0.164 0.500
Cd: 0.635 0.135 0.000
Rh: 0.164 0.664 0.500
Si: 0.500 0.500 0.000
Cd: 0.865 0.635 0.000
Rh: 0.664 0.836 0.500
Cd: 0.135 0.365 0.000
Cd: 0.365 0.865 0.000

## Properties
- ΔE to the lowest computed polymorph (meV per atom) = 730
- energy relative to the elements, uncorrected (eV per atom) = 0.334
- space group = P4/mbm (127)

=====

[2]
A relaxed structure of CdSiRh4. Source: Alexandria, functional GGA-PBE.

Cell lengths 5.166, 5.166, 5.166 Å; angles 60.00, 60.00, 60.00 degrees
Atoms (fractional coordinates):
Rh: 0.375 0.375 0.874
Rh: 0.375 0.375 0.375
Rh: 0.874 0.375 0.375
Cd: 0.000 0.000 0.000
Si: 0.750 0.750 0.750
Rh: 0.375 0.874 0.375

## Properties
- energy relative to the elements, uncorrected (eV per atom) = 0.270
- space group = F-43m (216)

=====

Which value of energy relative to the elements, uncorrected does entry 2 give?
0.270 eV per atom

=====

The lowest energy relative to the elements, uncorrected belongs to which entry?
CdSiRh4

=====

energy relative to the elements, uncorrected of number 1 (Cd2SiRh2)?
0.334 eV per atom